(1)
A plane-wave DFT calculation with PBE was carried out for an optimized crystal structure of RbYPdSe3.

Output
distance to the lowest polymorph of the same formula: 0 meV per atom
space-group type: Cmcm

Cell lengths 8.3701, 8.3701, 10.1313 Å; angles 90.00, 90.00, 151.25 degrees
Last column: nearest neighbours and their distance in Å.
Atoms (fractional coordinates):
Rb (0.2534, 0.7466, 0.7500)  6 Se 3.42-3.47
Se (0.8846, 0.1154, 0.5727)  1 Pd 2.50
Y (0.5000, 0.5000, 0.0000)  6 Se 2.89
Se (0.5861, 0.4139, 0.7500)  2 Pd 2.58, 2 Y 2.89
Y (0.5000, 0.5000, 0.5000)  6 Se 2.89
Se (0.4139, 0.5861, 0.2500)  2 Pd 2.58, 2 Y 2.89
Se (0.8846, 0.1154, 0.9273)  1 Pd 2.50
Rb (0.7466, 0.2534, 0.2500)  6 Se 3.42-3.47
Se (0.1154, 0.8846, 0.4273)  1 Pd 2.50
Pd (0.9915, 0.0085, 0.7500)  4 Se 2.50-2.58
Se (0.1154, 0.8846, 0.0727)  1 Pd 2.50
Pd (0.0085, 0.9915, 0.2500)  4 Se 2.50-2.58



(2)
A plane-wave DFT calculation with PBE was carried out for an optimized crystal structure of MoBr5.

Output
distance to the lowest polymorph of the same formula: 0 meV per atom
space-group type: P-1

Cell lengths 6.5352, 7.2148, 9.5848 Å; angles 108.42, 90.47, 116.54 degrees
Last column: nearest neighbours and their distance in Å.
Atoms (fractional coordinates):
Br (0.0734, 0.3141, 0.0639)  1 Mo 2.42
Br (0.5558, 0.9268, 0.1650)  1 Mo 2.42
Br (0.4442, 0.0732, 0.8350)  1 Mo 2.42
Br (0.6898, 0.4890, 0.2533)  1 Mo 2.47
Br (0.7565, 0.3152, 0.5471)  2 Mo 2.68-2.69
Br (0.8724, 0.8681, 0.6433)  1 Mo 2.45
Br (0.3102, 0.5110, 0.7467)  1 Mo 2.47
Br (0.9266, 0.6859, 0.9361)  1 Mo 2.42
Br (0.2435, 0.6848, 0.4529)  2 Mo 2.68-2.69
Mo (0.1043, 0.7149, 0.7176)  6 Br 2.42-2.69
Br (0.1276, 0.1319, 0.3567)  1 Mo 2.45
Mo (0.8957, 0.2851, 0.2824)  6 Br 2.42-2.69



Number 1: E -30.040 eV/f.u., ρ 5035 kg/m³. Number 2: E -21.841 eV/f.u., ρ 4358 kg/m³.